1.
MgTaNi after structural relaxation. Source: the Alexandria database, functional PBEsol.

Values from the calculation:
space-group type = P3m1, No. 156
VASP energy = -0.4862 Ry/atom
calculated density = 9.712 g/cm3
D(E_F) = 0.51 states/eV/atom
distance to the lowest polymorph of the same formula = 0.481 eV/f.u.
magnetization = 0.0 μB/f.u.

Cell lengths 4.369, 4.369, 2.730 Å; angles 90.00, 90.00, 120.00 degrees
Fractional positions:
Mg 0.000 0.000 0.000
Ta 0.333 0.667 0.550
Ni 0.667 0.333 0.266

***

2.
SbH2 after structural relaxation. Source: the Alexandria database, functional PBEsol.

Values from the calculation:
space-group type = I4/mmm, No. 139
VASP energy = -0.2669 Ry/atom
calculated density = 4.474 g/cm3
D(E_F) = 0.17 states/eV/atom
magnetization = 0.0 μB/f.u.

Cell lengths 9.900, 9.900, 9.900 Å; angles 162.07, 162.07, 25.46 degrees
Fractional positions:
Sb 0.072 0.072 0.000
Sb 0.928 0.928 0.000
H 0.275 0.275 0.000
H 0.314 0.314 0.000
H 0.686 0.686 0.000
H 0.725 0.725 0.000

***

3.
TaMoAu2 after structural relaxation. Source: the Alexandria database, functional PBEsol.

Values from the calculation:
space-group type = P4mm, No. 99
VASP energy = -0.5895 Ry/atom
calculated density = 16.745 g/cm3
D(E_F) = 1.00 states/eV/atom
magnetization = 0.0 μB/f.u.

Cell lengths 3.366, 3.366, 5.871 Å; angles 90.00, 90.00, 90.00 degrees
Fractional positions:
Ta 0.000 0.000 0.000
Mo 0.500 0.500 0.766
Au 0.000 0.000 0.508
Au 0.500 0.500 0.263

***

4.
Tc3Ru after structural relaxation. Source: the Alexandria database, functional PBEsol.

Values from the calculation:
space-group type = Pm-3m, No. 221
VASP energy = -0.8043 Ry/atom
calculated density = 11.861 g/cm3
D(E_F) = 1.11 states/eV/atom
distance to the lowest polymorph of the same formula = 0.399 eV/f.u.
magnetization = 0.0 μB/f.u.

Cell lengths 3.810, 3.810, 3.810 Å; angles 90.00, 90.00, 90.00 degrees
Fractional positions:
Tc 0.000 0.000 0.500
Tc 0.000 0.500 0.000
Tc 0.500 0.000 0.000
Ru 0.500 0.500 0.500

***

5.
NiRh2Br after structural relaxation. Source: the Alexandria database, functional PBEsol.

Values from the calculation:
space-group type = Cmmm, No. 65
VASP energy = -0.4037 Ry/atom
calculated density = 10.223 g/cm3
D(E_F) = 1.56 states/eV/atom
distance to the lowest polymorph of the same formula = 0.000 eV/f.u.
formation energy (no corrections) = 0.58 eV per atom
magnetization = 1.3 μB/f.u.

Cell lengths 4.450, 4.450, 2.873 Å; angles 90.00, 90.00, 100.48 degrees
Fractional positions:
Ni 0.000 0.000 0.000
Rh 0.000 0.500 0.500
Rh 0.500 0.000 0.500
Br 0.500 0.500 0.000

***

6.
Cr2OsCl after structural relaxation. Source: the Alexandria database, functional PBEsol.

Values from the calculation:
space-group type = Cmm2, No. 35
VASP energy = -0.5966 Ry/atom
calculated density = 9.678 g/cm3
D(E_F) = 1.14 states/eV/atom
distance to the lowest polymorph of the same formula = 0.345 eV/f.u.
formation energy (no corrections) = 0.56 eV per atom
magnetization = 1.0 μB/f.u.

Cell lengths 2.718, 2.718, 8.613 Å; angles 90.00, 90.00, 117.24 degrees
Fractional positions:
Cr 0.000 0.000 0.000
Cr 0.500 0.500 0.215
Os 0.500 0.500 0.770
Cl 0.000 0.000 0.429

***

7.
Sr4CrCo after structural relaxation. Source: the Alexandria database, functional PBEsol.

Values from the calculation:
space-group type = F-43m, No. 216
VASP energy = -0.2107 Ry/atom
calculated density = 3.516 g/cm3
D(E_F) = 2.21 states/eV/atom
magnetization = 6.4 μB/f.u.

Cell lengths 6.755, 6.755, 6.755 Å; angles 60.00, 60.00, 60.00 degrees
Fractional positions:
Sr 0.125 0.125 0.125
Sr 0.125 0.125 0.624
Sr 0.125 0.624 0.125
Sr 0.624 0.125 0.125
Cr 0.750 0.750 0.750
Co 0.500 0.500 0.500

***

8.
K2SrGeC after structural relaxation. Source: the Alexandria database, functional PBEsol.

Values from the calculation:
space-group type = P4/mmm, No. 123
VASP energy = -0.2120 Ry/atom
calculated density = 2.627 g/cm3
D(E_F) = 0.67 states/eV/atom
magnetization = 3.8 μB/f.u.

Cell lengths 5.444, 5.444, 5.342 Å; angles 90.00, 90.00, 90.00 degrees
Fractional positions:
K 0.000 0.500 0.000
K 0.500 0.000 0.000
Sr 0.000 0.000 0.500
Ge 0.500 0.500 0.500
C 0.000 0.000 0.000

***

9.
LiRe2Se after structural relaxation. Source: the Alexandria database, functional PBEsol.

Values from the calculation:
space-group type = F-43m, No. 216
VASP energy = -0.5692 Ry/atom
calculated density = 13.249 g/cm3
D(E_F) = 0.79 states/eV/atom
formation energy (no corrections) = 0.38 eV per atom
magnetization = 0.0 μB/f.u.

Cell lengths 4.331, 4.331, 4.331 Å; angles 60.00, 60.00, 60.00 degrees
Fractional positions:
Li 0.000 0.000 0.000
Re 0.250 0.250 0.250
Re 0.500 0.500 0.500
Se 0.750 0.750 0.750

***

10.
ScSb2TeCl after structural relaxation. Source: the Alexandria database, functional PBEsol.

Values from the calculation:
space-group type = P4/mmm, No. 123
VASP energy = -0.2849 Ry/atom
calculated density = 5.375 g/cm3
D(E_F) = 0.72 states/eV/atom
formation energy (no corrections) = 0.38 eV per atom
magnetization = 0.0 μB/f.u.

Cell lengths 5.197, 5.197, 5.165 Å; angles 90.00, 90.00, 90.00 degrees
Fractional positions:
Sc 0.000 0.000 0.000
Sb 0.000 0.500 0.500
Sb 0.500 0.000 0.500
Te 0.500 0.500 0.000
Cl 0.500 0.500 0.500

***

11.
Sr4As2O after structural relaxation. Source: the Alexandria database, functional PBEsol.

Values from the calculation:
space-group type = I4/mmm, No. 139
VASP energy = -0.3595 Ry/atom
calculated density = 4.561 g/cm3
formation energy (no corrections) = -1.63 eV per atom
magnetization = 0.0 μB/f.u.

Cell lengths 8.791, 8.791, 8.791 Å; angles 148.20, 148.20, 45.59 degrees
Fractional positions:
Sr 0.000 0.500 0.500
Sr 0.173 0.173 0.000
Sr 0.500 0.000 0.500
Sr 0.827 0.827 0.000
As 0.364 0.364 0.000
As 0.636 0.636 0.000
O 0.000 0.000 0.000

***

12.
ZrCrCu after structural relaxation. Source: the Alexandria database, functional PBEsol.

Values from the calculation:
space-group type = F-43m, No. 216
VASP energy = -0.5056 Ry/atom
calculated density = 6.145 g/cm3
D(E_F) = 0.43 states/eV/atom
magnetization = 3.2 μB/f.u.

Cell lengths 4.291, 4.291, 4.291 Å; angles 60.00, 60.00, 60.00 degrees
Fractional positions:
Zr 0.000 0.000 0.000
Cr 0.750 0.750 0.750
Cu 0.250 0.250 0.250

***

Q: The highest calculated density belongs to which entry?
A: TaMoAu2

***

Q: Number 12 is which compound?
A: ZrCrCu

***

Q: Number 5 is which compound?
A: NiRh2Br